Record 1
KFe2Se: optimized geometry, GGA-PBE.

Calculated values
Magnetization   5.10 μB/f.u.
V   24.37 Å³/atom
Uncorrected formation energy   0.308 eV/atom

a = 5.6119 Å, b = 5.6119 Å, c = 6.0828 Å
α = 108.86°, β = 108.86°, γ = 32.72°
Closest atoms and distances in Å follow each position.
Sites, in units of the cell vectors:
K: 0.0000 0.0000 0.0000  2 K 3.16, 2 Fe 3.30, 4 Se 3.43
Fe: 0.1862 0.1862 0.5553  2 Fe 2.34, 2 Se 2.49
Fe: 0.8138 0.8138 0.4447  2 Fe 2.34, 2 Se 2.49
Se: 0.5000 0.5000 0.5000  4 Fe 2.49

***

Record 2
CuAg2SbO4: optimized geometry, GGA-PBE.

Calculated values
Magnetization   0.20 μB/f.u.
V   15.80 Å³/atom
Uncorrected formation energy   -0.576 eV/atom

a = 5.2030 Å, b = 5.2035 Å, c = 5.9418 Å
α = 64.08°, β = 64.04°, γ = 89.99°
Closest atoms and distances in Å follow each position.
Sites, in units of the cell vectors:
Cu: 0.0000 0.0000 0.0000  4 O 2.01-2.02
Ag: 0.2502 0.7508 0.4999  4 O 2.41
Ag: 0.5001 0.5010 0.9998  4 O 2.41
Sb: 0.7506 0.2509 0.4998  4 O 1.96
O: 0.0539 0.1272 0.2552  1 Sb 1.96, 1 Cu 2.02
O: 0.3827 0.9478 0.7440  1 Sb 1.96, 1 Cu 2.02
O: 0.6915 0.6187 0.2556  1 Sb 1.96, 1 Cu 2.01
O: 0.8744 0.3098 0.7442  1 Sb 1.96, 1 Cu 2.02

***

Record 3
BeAlOs2: optimized geometry, GGA-PBE.

Calculated values
Energy of formation   0.32 eV/atom
Magnetization   0.00 μB/f.u.
V   13.60 Å³/atom

a = 2.6998 Å, b = 2.6998 Å, c = 8.4092 Å
α = 90.00°, β = 90.00°, γ = 117.45°
Closest atoms and distances in Å follow each position.
Sites, in units of the cell vectors:
Be: 0.0000 0.0000 0.0000  2 Os 2.33, 2 Al 2.52
Al: 0.5000 0.5000 0.7513  2 Be 2.52, 2 Os 2.55, 6 Al 2.70-2.80
Os: 0.0000 0.0000 0.4983  2 Al 2.55, 8 Os 2.70-2.80
Os: 0.5000 0.5000 0.2206  2 Be 2.33

***

Record 4
AsPtN: optimized geometry, GGA-PBE.

Calculated values
Magnetization   0.00 μB/f.u.
V   23.04 Å³/atom
Uncorrected formation energy   -0.098 eV/atom

a = 3.5215 Å, b = 3.5215 Å, c = 12.9194 Å
α = 93.31°, β = 93.31°, γ = 59.84°
Closest atoms and distances in Å follow each position.
Sites, in units of the cell vectors:
As: 0.1408 0.1408 0.3160  3 Pt 2.44
As: 0.8592 0.8592 0.6840  3 Pt 2.44
Pt: 0.1772 0.1772 0.5787  3 As 2.44
Pt: 0.8228 0.8228 0.4213  3 As 2.44
N: 0.4717 0.4717 0.0401  1 N 1.11
N: 0.5283 0.5283 0.9599  1 N 1.11

***

Record 5
CuHg2W: optimized geometry, GGA-PBE.

Calculated values
Energy of formation   0.92 eV/atom
Magnetization   0.80 μB/f.u.
V   17.96 Å³/atom

a = 5.1705 Å, b = 5.1705 Å, c = 5.1705 Å
α = 133.35°, β = 133.35°, γ = 68.11°
Closest atoms and distances in Å follow each position.
Sites, in units of the cell vectors:
Cu: 0.0000 0.0000 0.0000  8 Hg 2.90-2.96, 4 W 2.96
Hg: 0.2500 0.7500 0.5000  4 W 2.90, 4 Hg 2.96, 4 Cu 2.96
Hg: 0.5000 0.5000 0.0000  4 Cu 2.90, 4 Hg 2.96, 4 W 2.96
W: 0.7500 0.2500 0.5000  8 Hg 2.90-2.96, 4 Cu 2.96

***

Q: Among the records above, which one has the highest magnetization?
A: KFe2Se

***

Q: Look up the V of the fourth one.
A: 23.04 Å³/atom

***

Q: Which value of magnetization does entry 3 give?
A: 0.00 μB/f.u.